[1]
Compound: PPt3
Source: Alexandria via LeMat-Bulk
Functional: SCAN
Structure: PBEsol geometry

Geometry as POSCAR:
```
PPt3
1.0
2.742 0.000 0.000
0.000 4.650 0.000
0.000 0.000 4.650
P Pt
1 3
Direct
0.000 0.000 0.000
0.500 0.500 0.000
0.000 0.500 0.500
0.500 0.000 0.500
```

Output
E_form in eV per atom: 0.127
Space group: P4/mmm (123)
Volume in Å³ per atom: 14.8

***

[2]
Compound: TiTlFe2I
Source: Alexandria via LeMat-Bulk
Functional: SCAN
Structure: PBEsol geometry

Geometry as POSCAR:
```
TiTlFe2I
1.0
-2.065 -1.304 3.822
3.841 0.689 2.310
-1.523 5.248 0.968
I Tl Fe Ti
1 1 2 1
Direct
0.500 0.500 0.500
0.000 0.000 0.500
0.000 0.500 0.000
0.500 0.000 0.000
0.000 0.000 0.000
```

Output
Formation energy (no corrections) in eV per atom: 1.098
Space group: P4/mmm (123)
Volume in Å³ per atom: 22.8

***

[3]
Compound: InAgS2
Source: Alexandria via LeMat-Bulk
Functional: SCAN
Structure: PBEsol geometry

Geometry as POSCAR:
```
InAgS2
1.0
-2.786 0.383 2.590
-3.317 -1.842 -0.474
0.646 -6.276 4.445
S Ag In
2 1 1
Direct
0.896 0.896 0.313
0.104 0.104 0.687
0.000 0.000 0.000
0.500 0.500 0.500
```

Output
Formation energy (no corrections) in eV per atom: -0.477
Space group: R-3m (166)
Volume in Å³ per atom: 23.4

***

[4]
Compound: KReSb2
Source: Alexandria via LeMat-Bulk
Functional: SCAN
Structure: PBEsol geometry

Geometry as POSCAR:
```
KReSb2
1.0
3.287 0.000 0.000
0.000 5.234 0.073
0.000 -1.383 5.048
K Re Sb
1 1 2
Direct
0.500 0.000 0.000
0.500 0.500 0.500
0.000 0.500 0.000
0.000 0.000 0.500
```

Output
Formation energy (no corrections) in eV per atom: 0.978
Space group: Cmmm (65)
Volume in Å³ per atom: 21.8

***

[5]
Compound: ScCdMo3
Source: Alexandria via LeMat-Bulk
Functional: SCAN
Structure: PBEsol geometry

Geometry as POSCAR:
```
ScCdMo3
1.0
-1.146 3.996 -2.439
-4.565 -0.397 1.495
1.038 2.666 3.879
Sc Mo Cd
1 3 1
Direct
0.500 0.500 0.500
0.000 0.500 0.000
0.000 0.000 0.500
0.500 0.000 0.000
0.000 0.000 0.000
```

Output
E_form in eV per atom: 2.280
Space group: Pm-3m (221)
Volume in Å³ per atom: 22.4

***

[6]
Compound: KCr2OsBr
Source: Alexandria via LeMat-Bulk
Functional: SCAN
Structure: PBEsol geometry

Geometry as POSCAR:
```
KCr2OsBr
1.0
4.745 0.000 0.000
0.000 4.745 0.000
0.000 0.000 5.372
Cr K Os Br
2 1 1 1
Direct
0.000 0.500 0.000
0.500 0.000 0.000
0.000 0.000 0.500
0.500 0.500 0.500
0.000 0.000 0.000
```

Output
Formation energy (no corrections) in eV per atom: 1.575
Space group: P4/mmm (123)
Volume in Å³ per atom: 24.2

***

[7]
Compound: CaScC2
Source: Alexandria via LeMat-Bulk
Functional: SCAN
Structure: PBEsol geometry

Geometry as POSCAR:
```
CaScC2
1.0
-3.272 1.815 -2.680
2.095 -1.717 -3.721
-3.025 -5.708 3.778
Sc Ca C
2 2 4
Direct
0.250 0.750 0.500
0.000 0.000 0.000
0.750 0.250 0.500
0.500 0.500 0.000
0.268 0.875 0.250
0.982 0.375 0.250
0.125 0.018 0.750
0.625 0.732 0.750
```

Output
E_form in eV per atom: 0.801
Space group: I-42d (122)
Volume in Å³ per atom: 17.8

***

[8]
Compound: HfAlAg2Mo
Source: Alexandria via LeMat-Bulk
Functional: SCAN
Structure: PBEsol geometry

Geometry as POSCAR:
```
HfAlAg2Mo
1.0
4.620 0.000 0.000
0.000 4.845 0.000
0.000 0.000 4.845
Mo Hf Al Ag
1 1 1 2
Direct
0.000 0.000 0.000
0.500 0.500 0.500
0.500 0.000 0.000
0.000 0.000 0.500
0.000 0.500 0.000
```

Output
E_form in eV per atom: 1.337
Space group: P4/mmm (123)
Volume in Å³ per atom: 21.7